Record 1
Crystalline MgAlTe3 at its relaxed geometry. Source: Alexandria, functional PBE.

a b c (Å): 5.345 5.345 5.345
angles (deg): 90.00 90.00 90.00
Positions (direct):
1 Mg 0.500 0.500 0.500
2 Te 0.000 0.500 0.000
3 Te 0.000 0.000 0.500
4 Te 0.500 0.000 0.000
5 Al 0.000 0.000 0.000

- Crystal system: cubic
- Distance to the lowest polymorph of the same formula: 541 meV per atom
- DOS at the Fermi energy: 3.22 states/eV per cell
- Formation energy (no corrections): 0.112 eV/atom
- Mass density: 4.721 g/cm3



Record 2
Crystalline Mg16Al12Te at its relaxed geometry. Source: Alexandria, functional PBE.

a b c (Å): 9.180 9.180 9.180
angles (deg): 109.47 109.47 109.47
Positions (direct):
1 Mg 0.313 0.313 0.716
2 Mg 0.333 0.333 0.333
3 Mg 0.000 0.000 0.667
4 Mg 0.597 0.597 0.284
5 Mg 0.687 0.403 0.000
6 Mg 0.597 0.284 0.597
7 Mg 0.000 0.687 0.403
8 Mg 0.000 0.667 0.000
9 Mg 0.716 0.313 0.313
10 Mg 0.403 0.000 0.687
11 Mg 0.000 0.403 0.687
12 Mg 0.313 0.716 0.313
13 Mg 0.667 0.000 0.000
14 Mg 0.687 0.000 0.403
15 Mg 0.284 0.597 0.597
16 Mg 0.403 0.687 0.000
17 Al 0.812 0.812 0.186
18 Al 0.626 0.626 0.814
19 Al 0.374 0.188 0.000
20 Al 0.814 0.626 0.626
21 Al 0.188 0.000 0.374
22 Al 0.374 0.000 0.188
23 Al 0.186 0.812 0.812
24 Al 0.000 0.374 0.188
25 Al 0.812 0.186 0.812
26 Al 0.000 0.188 0.374
27 Al 0.626 0.814 0.626
28 Al 0.188 0.374 0.000
29 Te 0.000 0.000 0.000

- Crystal system: cubic
- Distance to the lowest polymorph of the same formula: 24 meV per atom
- DOS at the Fermi energy: 15.76 states/eV per cell
- Formation energy (no corrections): 0.005 eV/atom
- Mass density: 2.343 g/cm3



Record 3
Crystalline MgAlTe4 at its relaxed geometry. Source: Alexandria, functional PBE.

a b c (Å): 6.410 6.410 6.410
angles (deg): 60.00 60.00 60.00
Positions (direct):
1 Mg 0.000 0.000 0.000
2 Al 0.750 0.750 0.750
3 Te 0.877 0.374 0.374
4 Te 0.374 0.374 0.877
5 Te 0.374 0.877 0.374
6 Te 0.374 0.374 0.374

- Crystal system: cubic
- DOS at the Fermi energy: 3.43 states/eV per cell
- Formation energy (no corrections): 0.367 eV/atom
- Mass density: 5.008 g/cm3